No. 1
{
  "formula": "Ca2BiTe",
  "functional": "PBE",
  "state": "relaxed",
  "polymorph_energy_ev_per_fu": 0.88,
  "space_group": "I-42d (122)",
  "volume_a3_per_cell": 270.3,
  "raw_formation_energy_ev_per_atom": -0.898,
  "lattice": [[8.4589, 0.0000, 0.0000], [0.0000, 8.4589, 0.0000], [4.2294, 4.2294, 3.7780]],
  "species": ["Ca", "Ca", "Ca", "Ca", "Te", "Te", "Bi", "Bi"],
  "fractional_positions": [[0.6168, 0.1250, 0.2500], [0.1332, 0.6250, 0.2500], [0.3750, 0.3832, 0.7500], [0.8750, 0.8668, 0.7500], [0.5000, 0.5000, 0.0000], [0.2500, 0.7500, 0.5000], [0.0000, 0.0000, 0.0000], [0.7500, 0.2500, 0.5000]]
}



No. 2
{
  "formula": "SrBrCl2",
  "functional": "PBE",
  "state": "relaxed",
  "polymorph_energy_ev_per_fu": 0.28,
  "space_group": "C2/m (12)",
  "volume_a3_per_cell": 131.0,
  "raw_formation_energy_ev_per_atom": -1.566,
  "lattice": [[-3.0969, 2.2270, -3.1171], [0.5492, 0.0229, -4.8953], [-3.8092, -5.2149, -1.3465]],
  "species": ["Sr", "Br", "Cl", "Cl"],
  "fractional_positions": [[0.7500, 0.7500, 0.7500], [0.2500, 0.2500, 0.2500], [0.0592, 0.0592, 0.9173], [0.4408, 0.4408, 0.5827]]
}



No. 3
{
  "formula": "Cu2RuBr",
  "functional": "PBE",
  "state": "relaxed",
  "polymorph_energy_ev_per_fu": 0.96,
  "space_group": "Cmmm (65)",
  "volume_a3_per_cell": 60.3,
  "raw_formation_energy_ev_per_atom": 0.695,
  "lattice": [[-1.3908, 3.9183, 2.4447], [-3.1998, -3.6023, -0.2189], [1.0963, -1.1209, 2.4202]],
  "species": ["Br", "Cu", "Cu", "Ru"],
  "fractional_positions": [[0.0000, 0.5000, 0.5000], [0.0000, 0.0000, 0.0000], [0.5000, 0.5000, 0.0000], [0.5000, 0.0000, 0.5000]]
}



No. 4
{
  "formula": "ZrTiSe4",
  "functional": "PBE",
  "state": "relaxed",
  "space_group": "P2/m (10)",
  "volume_a3_per_cell": 154.0,
  "raw_formation_energy_ev_per_atom": -1.206,
  "lattice": [[3.6730, 0.0000, 0.0000], [0.0000, 6.3612, -0.0047], [0.0000, 0.0196, 6.5896]],
  "species": ["Zr", "Ti", "Se", "Se", "Se", "Se"],
  "fractional_positions": [[0.5000, 0.5000, 0.0000], [0.0000, 0.0000, 0.0000], [0.0000, 0.3210, 0.7570], [0.5000, 0.1537, 0.2347], [0.5000, 0.8463, 0.7653], [0.0000, 0.6790, 0.2430]]
}



No. 5
{
  "formula": "Sm2ErGa4",
  "functional": "PBE",
  "state": "relaxed",
  "delta_e_f_ev_per_atom": -0.60,
  "space_group": "Immm (71)",
  "volume_a3_per_cell": 165.3,
  "lattice": [[4.0605, 0.0000, -0.9258], [-0.2218, 4.1640, -0.9728], [0.0843, 0.0778, 9.7373]],
  "species": ["Ga", "Ga", "Ga", "Ga", "Sm", "Sm", "Er"],
  "fractional_positions": [[0.6423, 0.6423, 0.2847], [0.3577, 0.3577, 0.7153], [0.0654, 0.5654, 0.1307], [0.9346, 0.4346, 0.8693], [0.8155, 0.8155, 0.6311], [0.1845, 0.1845, 0.3689], [0.5000, 0.0000, 0.0000]]
}



No. 6
{
  "formula": "ZrRh2W",
  "functional": "PBE",
  "state": "relaxed",
  "delta_e_f_ev_per_atom": -0.33,
  "polymorph_energy_ev_per_fu": 0.11,
  "space_group": "Pm (6)",
  "volume_a3_per_cell": 65.6,
  "lattice": [[-1.1685, 3.9233, 2.1232], [0.8094, -1.1249, 2.5242], [4.7162, 1.5350, -0.2410]],
  "species": ["Rh", "Rh", "W", "Zr"],
  "fractional_positions": [[0.0000, 0.1538, 0.9483], [0.5000, 0.1223, 0.3086], [0.0000, 0.5249, 0.4296], [0.5000, 0.6990, 0.8135]]
}